# 1
Computed, not measured: USbPd after structural relaxation at the PBE-GGA level of DFT.

Geometry as extended XYZ:
```
6
Lattice="4.993 0.000 0.000 -2.497 4.324 0.000 0.000 0.000 5.787" Properties=species:S:1:pos:R:3 pbc="T T T"
U 0.000 0.000 0.000
U 0.000 0.000 2.893
Sb 0.000 2.883 1.447
Sb 2.497 1.441 4.340
Pd 0.000 2.883 4.340
Pd 2.497 1.441 1.447
```

SG = P6_3/mmc (194)
Final energy = -7.3409 eV per atom

***

# 2
Computed, not measured: DyTmSb2 after structural relaxation at the PBE-GGA level of DFT.

Geometry as extended XYZ:
```
4
Lattice="4.356 0.000 0.000 0.000 4.356 0.000 0.000 0.000 6.160" Properties=species:S:1:pos:R:3 pbc="T T T"
Dy 0.000 0.000 0.000
Tm 2.178 2.178 3.080
Sb 0.000 0.000 3.080
Sb 2.178 2.178 0.000
```

SG = P4/mmm (123)
Final energy = -5.4278 eV per atom

***

# 3
Computed, not measured: Ni14Te after structural relaxation at the PBE-GGA level of DFT.

Geometry as extended XYZ:
```
30
Lattice="6.284 -1.756 0.000 6.284 1.756 0.000 -0.104 0.000 28.845" Properties=species:S:1:pos:R:3 pbc="T T T"
Ni 0.185 0.000 9.310
Ni 0.675 0.000 11.756
Ni 1.156 0.000 14.172
Ni 1.632 0.000 16.587
Ni 2.108 0.000 18.994
Ni 2.591 0.000 8.831
Ni 3.100 0.000 11.289
Ni 3.580 0.000 13.704
Ni 4.049 0.000 16.123
Ni 4.538 0.000 18.525
Ni 5.006 0.000 20.901
Ni 5.067 0.000 8.338
Ni 5.516 0.000 10.793
Ni 5.993 0.000 13.215
Ni 6.471 0.000 15.630
Ni 6.947 0.000 18.052
Ni 7.396 0.000 20.507
Ni 7.457 0.000 7.944
Ni 7.925 0.000 10.320
Ni 8.414 0.000 12.722
Ni 8.884 0.000 15.141
Ni 9.364 0.000 17.556
Ni 9.873 0.000 20.014
Ni 10.355 0.000 9.851
Ni 10.831 0.000 12.258
Ni 11.308 0.000 14.672
Ni 11.789 0.000 17.089
Ni 12.278 0.000 19.535
Te 2.526 0.000 21.681
Te 9.938 0.000 7.164
```

SG = C2/m (12)
Relative energy among the computed polymorphs = 33 meV per atom

***

V in A^3/atom, matching the order above: 20.82, 29.21, 21.22